Entry 1:
Compound: Sc5Fe4
Source: the Alexandria database
Functional: PBE
Structure: relaxed

Structure (POSCAR):
```
Sc5Fe4
1.0
3.005 -5.395 0.417
-5.608 2.057 1.620
-0.742 0.134 -6.143
Fe Sc
4 5
direct
0.357 0.000 0.357
0.000 0.357 0.357
0.000 0.643 0.643
0.643 0.000 0.643
0.316 0.684 0.000
0.684 0.684 0.367
0.684 0.316 0.000
0.000 0.000 0.000
0.316 0.316 0.633
```

Output
Space-group type ... I4/mmm, No. 139
Excess energy over the best structure of this formula in the dataset ... 89 meV/atom
Energy relative to the elements ... 0.132 eV per atom


Entry 2:
Compound: BaCrGe2
Source: the Alexandria database
Functional: PBE
Structure: relaxed

Structure (POSCAR):
```
BaCrGe2
1.0
0.187 -3.866 3.398
-4.294 -1.534 2.395
-2.110 -4.553 -1.161
Ge Cr Ba
2 1 1
direct
0.250 0.250 0.250
0.750 0.750 0.750
0.000 0.000 0.000
0.500 0.500 0.500
```

Output
Space-group type ... Fm-3m, No. 225
Excess energy over the best structure of this formula in the dataset ... 376 meV/atom
Energy relative to the elements ... 0.232 eV per atom


Entry 3:
Compound: TlHIN2
Source: the Alexandria database
Functional: PBE
Structure: relaxed

Structure (POSCAR):
```
TlHIN2
1.0
5.223 0.000 0.000
0.000 5.223 0.000
0.000 0.000 3.886
H N Tl I
1 2 1 1
direct
0.000 0.000 0.000
0.500 0.000 0.000
0.000 0.500 0.000
0.500 0.500 0.500
0.000 0.000 0.500
```

Output
Space-group type ... P4/mmm, No. 123
Excess energy over the best structure of this formula in the dataset ... 0 meV/atom


Entry 4:
Compound: MnFeOs2
Source: the Alexandria database
Functional: PBE
Structure: relaxed

Structure (POSCAR):
```
MnFeOs2
1.0
3.970 0.000 0.000
0.000 2.642 0.000
0.000 1.319 4.768
Os Fe Mn
2 1 1
direct
0.500 0.295 0.284
0.000 0.954 0.967
0.000 0.686 0.502
0.500 0.565 0.746
```

Output
Space-group type ... Amm2, No. 38
Energy relative to the elements ... 0.054 eV per atom